1.
A PBEsol-optimized structure of KGaAsBr2, computed with meta-GGA SCAN.

Output
Its uncorrected formation energy is 57 meV per atom. Its crystal system is tetragonal. The value obtained for the calculated density is 2.72 Mg/m³. Its total energy is -16.700 eV per atom.

The structure in POSCAR format:
```
KGaAsBr2
1.0
-3.449 -3.334 3.473
-3.268 -1.545 -4.729
3.568 -4.670 -0.940
K As Ga Br
1 1 1 2
direct
0.000 0.000 0.000 K
0.500 0.000 0.000 As
0.500 0.500 0.500 Ga
0.000 0.000 0.500 Br
0.000 0.500 0.000 Br
```



2.
A PBEsol-optimized structure of LuAg2, computed with meta-GGA SCAN.

Output
Its crystal system is tetragonal. The value obtained for the calculated density is 11.19 Mg/m³. The calculation puts the formation energy at -1.2 eV/f.u. Its total energy is -39.751 eV per atom.

The structure in POSCAR format:
```
LuAg2
1.0
3.598 0.000 0.000
0.000 3.598 0.000
-1.799 -1.799 4.481
Ag Lu
2 1
direct
0.669 0.669 0.338 Ag
0.331 0.331 0.662 Ag
0.000 0.000 0.000 Lu
```



3.
A PBEsol-optimized structure of LaGeF3, computed with meta-GGA SCAN.

Output
Its uncorrected formation energy is -2668 meV per atom. Its crystal system is cubic. The value obtained for the calculated density is 4.36 Mg/m³. Its total energy is -17.231 eV per atom.

The structure in POSCAR format:
```
LaGeF3
1.0
4.675 0.000 0.000
0.000 4.675 0.000
0.000 0.000 4.675
F La Ge
3 1 1
direct
0.000 0.000 0.500 F
0.500 0.000 0.000 F
0.000 0.500 0.000 F
0.000 0.000 0.000 La
0.500 0.500 0.500 Ge
```